A plane-wave DFT calculation with PBE+U was carried out for a relaxed NiS6F2 crystal.

Cell and atoms, written as extended XYZ:
```
9
Lattice="-0.750 2.515 2.336 -4.133 -4.625 3.613 6.648 -0.543 2.649" Properties=species:S:1:pos:R:3 pbc="T T T"
S 0.610 -1.119 2.127
S 1.861 0.795 4.359
S -1.230 -0.383 4.634
F -3.358 -2.932 4.682
S -0.097 -3.448 4.239
F 5.122 0.279 3.916
Ni 0.000 0.000 0.000
S 2.995 -2.270 3.964
S 1.155 -1.534 6.470
```

Computed properties:
- Space-group type: P-1, No. 2
- Total DFT energy (no corrections): -3.93 eV per atom